This record from Alexandria via LeMat-Bulk describes Sr4Sn2N after structural relaxation. The functional is GGA-PBE.

Summary:
- Offset from the most stable computed form: 0.00 eV per formula unit
- Calculated total energy: -3.805 eV/atom

```
data_Sr4Sn2N
_chemical_formula_sum 'Sr8 Sn4 N2'
_symmetry_space_group_name_H-M 'I 4/m m m'
_symmetry_Int_Tables_number 139
_symmetry_space_group_name_Hall '-I 4 2'
_cell_length_a 5.3575
_cell_length_b 5.3575
_cell_length_c 16.1278
_cell_angle_alpha 90.00
_cell_angle_beta 90.00
_cell_angle_gamma 90.00
loop_
_atom_site_label
_atom_site_type_symbol
_atom_site_fract_x
_atom_site_fract_y
_atom_site_fract_z
_atom_site_occupancy
Sr1 Sr 0.0000 0.0000 0.1594 1
Sr2 Sr 0.0000 0.5000 0.0000 1
Sn1 Sn 0.0000 0.0000 0.3716 1
N1 N 0.0000 0.0000 0.0000 1
```